# SrLa8, PBEsol geometry, DFT SCAN
data_SrLa8
_chemical_formula_sum 'Sr1 La8'
_symmetry_space_group_name_H-M 'P 1'
_symmetry_Int_Tables_number 1
_symmetry_space_group_name_Hall 'P 1'
_cell_length_a 5.1548
_cell_length_b 8.2500
_cell_length_c 8.2500
_cell_angle_alpha 84.40
_cell_angle_beta 71.80
_cell_angle_gamma 71.80
loop_
_atom_site_label
_atom_site_fract_x
_atom_site_fract_y
_atom_site_fract_z
La1 0.6788 0.0000 0.6425
La2 0.6788 0.6425 0.0000
La3 0.3381 0.6619 0.6619
La4 0.3212 0.0000 0.3575
La5 0.3212 0.3575 0.0000
La6 0.0000 0.3381 0.6619
La7 0.6619 0.3381 0.3381
La8 0.0000 0.6619 0.3381
Sr1 0.0000 0.0000 0.0000
# DOS at the Fermi energy	12.52	states/eV per cell
# formation energy	50.7	meV/atom
# theoretical density	6.3	g cm⁻³



# Li2CuRh, PBEsol geometry, DFT SCAN
data_Li2CuRh
_chemical_formula_sum 'Li2 Cu1 Rh1'
_symmetry_space_group_name_H-M 'P 1'
_symmetry_Int_Tables_number 1
_symmetry_space_group_name_Hall 'P 1'
_cell_length_a 4.1228
_cell_length_b 4.1228
_cell_length_c 4.1228
_cell_angle_alpha 60.00
_cell_angle_beta 60.00
_cell_angle_gamma 60.00
loop_
_atom_site_label
_atom_site_fract_x
_atom_site_fract_y
_atom_site_fract_z
Rh1 0.2500 0.2500 0.2500
Li1 0.7500 0.7500 0.7500
Li2 0.0000 0.0000 0.0000
Cu1 0.5000 0.5000 0.5000
# DOS at the Fermi energy	1.72	states/eV per cell
# formation energy	-60.4	meV/atom
# theoretical density	6.0	g cm⁻³
# excess energy over the best structure of this formula in the dataset	76	meV per atom



# Ca2MoP, PBEsol geometry, DFT SCAN
data_Ca2MoP
_chemical_formula_sum 'Ca2 Mo1 P1'
_symmetry_space_group_name_H-M 'P 1'
_symmetry_Int_Tables_number 1
_symmetry_space_group_name_Hall 'P 1'
_cell_length_a 4.0534
_cell_length_b 4.1737
_cell_length_c 5.9058
_cell_angle_alpha 110.69
_cell_angle_beta 90.00
_cell_angle_gamma 90.00
loop_
_atom_site_label
_atom_site_fract_x
_atom_site_fract_y
_atom_site_fract_z
Mo1 0.0000 0.6751 0.3502
Ca1 0.0000 0.9788 0.9576
Ca2 0.5000 0.2732 0.5465
P1 0.5000 0.5724 0.1448
# DOS at the Fermi energy	1.76	states/eV per cell
# formation energy	-173.0	meV/atom
# theoretical density	3.7	g cm⁻³



# Be4CuOs, PBEsol geometry, DFT SCAN
data_Be4CuOs
_chemical_formula_sum 'Be4 Cu1 Os1'
_symmetry_space_group_name_H-M 'P 1'
_symmetry_Int_Tables_number 1
_symmetry_space_group_name_Hall 'P 1'
_cell_length_a 4.2672
_cell_length_b 4.2672
_cell_length_c 4.2672
_cell_angle_alpha 60.00
_cell_angle_beta 60.00
_cell_angle_gamma 60.00
loop_
_atom_site_label
_atom_site_fract_x
_atom_site_fract_y
_atom_site_fract_z
Be1 0.1222 0.6259 0.6259
Be2 0.6259 0.1222 0.6259
Be3 0.6259 0.6259 0.1222
Be4 0.6259 0.6259 0.6259
Os1 0.0000 0.0000 0.0000
Cu1 0.2500 0.2500 0.2500
# DOS at the Fermi energy	1.89	states/eV per cell
# formation energy	-194.7	meV/atom
# theoretical density	8.8	g cm⁻³



# SbIrPt2, PBEsol geometry, DFT SCAN
data_SbIrPt2
_chemical_formula_sum 'Sb1 Ir1 Pt2'
_symmetry_space_group_name_H-M 'P 1'
_symmetry_Int_Tables_number 1
_symmetry_space_group_name_Hall 'P 1'
_cell_length_a 3.5472
_cell_length_b 4.2299
_cell_length_c 4.3990
_cell_angle_alpha 101.24
_cell_angle_beta 90.00
_cell_angle_gamma 90.00
loop_
_atom_site_label
_atom_site_fract_x
_atom_site_fract_y
_atom_site_fract_z
Ir1 0.0000 0.5000 0.5000
Pt1 0.5000 0.5000 0.0000
Pt2 0.0000 0.0000 0.0000
Sb1 0.5000 0.0000 0.5000
# DOS at the Fermi energy	1.10	states/eV per cell
# formation energy (no corrections)	-0.4	kJ/mol of atoms
# theoretical density	18.1	g cm⁻³



# CdRhW2, PBEsol geometry, DFT SCAN
data_CdRhW2
_chemical_formula_sum 'Cd1 Rh1 W2'
_symmetry_space_group_name_H-M 'P 1'
_symmetry_Int_Tables_number 1
_symmetry_space_group_name_Hall 'P 1'
_cell_length_a 3.2176
_cell_length_b 4.2878
_cell_length_c 5.2838
_cell_angle_alpha 113.94
_cell_angle_beta 107.73
_cell_angle_gamma 90.00
loop_
_atom_site_label
_atom_site_fract_x
_atom_site_fract_y
_atom_site_fract_z
Rh1 0.0000 0.5000 0.0000
W1 0.7427 0.7427 0.4854
W2 0.2573 0.2573 0.5146
Cd1 0.5000 0.0000 0.0000
# DOS at the Fermi energy	2.26	states/eV per cell
# formation energy	329.3	meV/atom
# theoretical density	15.4	g cm⁻³



# IrRhW, PBEsol geometry, DFT SCAN
data_IrRhW
_chemical_formula_sum 'Ir1 Rh1 W1'
_symmetry_space_group_name_H-M 'P 1'
_symmetry_Int_Tables_number 1
_symmetry_space_group_name_Hall 'P 1'
_cell_length_a 2.7239
_cell_length_b 3.8294
_cell_length_c 4.7438
_cell_angle_alpha 113.80
_cell_angle_beta 106.68
_cell_angle_gamma 90.00
loop_
_atom_site_label
_atom_site_fract_x
_atom_site_fract_y
_atom_site_fract_z
W1 0.3343 0.3343 0.6685
Rh1 0.6671 0.6671 0.3343
Ir1 0.9986 0.9986 0.9972
# DOS at the Fermi energy	2.43	states/eV per cell
# formation energy	-249.5	meV/atom
# theoretical density	18.5	g cm⁻³
# excess energy over the best structure of this formula in the dataset	0	meV per atom



# KScSe2N, PBEsol geometry, DFT SCAN
data_KScSe2N
_chemical_formula_sum 'K1 Sc1 Se2 N1'
_symmetry_space_group_name_H-M 'P 1'
_symmetry_Int_Tables_number 1
_symmetry_space_group_name_Hall 'P 1'
_cell_length_a 4.2858
_cell_length_b 5.2439
_cell_length_c 5.2439
_cell_angle_alpha 90.00
_cell_angle_beta 90.00
_cell_angle_gamma 90.00
loop_
_atom_site_label
_atom_site_fract_x
_atom_site_fract_y
_atom_site_fract_z
Se1 0.0000 0.0000 0.5000
Se2 0.0000 0.5000 0.0000
N1 0.5000 0.0000 0.0000
Sc1 0.0000 0.0000 0.0000
K1 0.5000 0.5000 0.5000
# DOS at the Fermi energy	2.08	states/eV per cell
# formation energy (no corrections)	-63.2	kJ/mol of atoms
# theoretical density	3.6	g cm⁻³



# Mg3TlCo, PBEsol geometry, DFT SCAN
data_Mg3TlCo
_chemical_formula_sum 'Mg3 Tl1 Co1'
_symmetry_space_group_name_H-M 'P 1'
_symmetry_Int_Tables_number 1
_symmetry_space_group_name_Hall 'P 1'
_cell_length_a 5.2068
_cell_length_b 5.2068
_cell_length_c 5.2068
_cell_angle_alpha 90.00
_cell_angle_beta 90.00
_cell_angle_gamma 90.00
loop_
_atom_site_label
_atom_site_fract_x
_atom_site_fract_y
_atom_site_fract_z
Co1 0.5000 0.5000 0.5000
Tl1 0.0000 0.0000 0.0000
Mg1 0.0000 0.5000 0.0000
Mg2 0.0000 0.0000 0.5000
Mg3 0.5000 0.0000 0.0000
# DOS at the Fermi energy	4.07	states/eV per cell
# formation energy	801.4	meV/atom
# theoretical density	4.0	g cm⁻³



# Ta3BiIr, PBEsol geometry, DFT SCAN
data_Ta3BiIr
_chemical_formula_sum 'Ta3 Bi1 Ir1'
_symmetry_space_group_name_H-M 'P 1'
_symmetry_Int_Tables_number 1
_symmetry_space_group_name_Hall 'P 1'
_cell_length_a 4.8622
_cell_length_b 4.8622
_cell_length_c 4.8622
_cell_angle_alpha 90.00
_cell_angle_beta 90.00
_cell_angle_gamma 90.00
loop_
_atom_site_label
_atom_site_fract_x
_atom_site_fract_y
_atom_site_fract_z
Ta1 0.0000 0.5000 0.0000
Ta2 0.0000 0.0000 0.5000
Ta3 0.5000 0.0000 0.0000
Bi1 0.5000 0.5000 0.5000
Ir1 0.0000 0.0000 0.0000
# DOS at the Fermi energy	4.08	states/eV per cell
# formation energy	852.9	meV/atom
# theoretical density	13.6	g cm⁻³



# Ca2AsPdPb, PBEsol geometry, DFT SCAN
data_Ca2AsPdPb
_chemical_formula_sum 'Ca2 As1 Pd1 Pb1'
_symmetry_space_group_name_H-M 'P 1'
_symmetry_Int_Tables_number 1
_symmetry_space_group_name_Hall 'P 1'
_cell_length_a 5.3901
_cell_length_b 5.3901
_cell_length_c 5.2841
_cell_angle_alpha 90.00
_cell_angle_beta 90.00
_cell_angle_gamma 90.00
loop_
_atom_site_label
_atom_site_fract_x
_atom_site_fract_y
_atom_site_fract_z
Ca1 0.5000 0.0000 0.0000
Ca2 0.0000 0.5000 0.0000
As1 0.0000 0.0000 0.0000
Pd1 0.5000 0.5000 0.5000
Pb1 0.0000 0.0000 0.5000
# DOS at the Fermi energy	2.45	states/eV per cell
# formation energy	-105.6	meV/atom
# theoretical density	5.1	g cm⁻³



# TcSe, PBEsol geometry, DFT SCAN
data_TcSe
_chemical_formula_sum 'Tc2 Se2'
_symmetry_space_group_name_H-M 'P 1'
_symmetry_Int_Tables_number 1
_symmetry_space_group_name_Hall 'P 1'
_cell_length_a 2.9439
_cell_length_b 2.9439
_cell_length_c 7.8441
_cell_angle_alpha 90.00
_cell_angle_beta 90.00
_cell_angle_gamma 90.00
loop_
_atom_site_label
_atom_site_fract_x
_atom_site_fract_y
_atom_site_fract_z
Se1 0.5000 0.0000 0.8022
Se2 0.0000 0.5000 0.1978
Tc1 0.5000 0.0000 0.3788
Tc2 0.0000 0.5000 0.6212
# DOS at the Fermi energy	2.00	states/eV per cell
# formation energy (no corrections)	-15.1	kJ/mol of atoms
# theoretical density	8.6	g cm⁻³



# Li5VP3O12, PBEsol geometry, DFT SCAN
data_Li5VP3O12
_chemical_formula_sum 'Li10 V2 P6 O24'
_symmetry_space_group_name_H-M 'P 1'
_symmetry_Int_Tables_number 1
_symmetry_space_group_name_Hall 'P 1'
_cell_length_a 9.3002
_cell_length_b 9.1280
_cell_length_c 9.3909
_cell_angle_alpha 53.53
_cell_angle_beta 52.90
_cell_angle_gamma 53.80
loop_
_atom_site_label
_atom_site_fract_x
_atom_site_fract_y
_atom_site_fract_z
O1 0.0110 0.8986 0.2320
O2 0.2190 0.5733 0.6148
O3 0.1871 0.5721 0.1960
O4 0.8892 0.2784 0.0117
O5 0.0026 0.6398 0.9238
O6 0.5833 0.5984 0.2175
O7 0.1546 0.8794 0.8255
O8 0.6265 0.5015 0.8908
O9 0.3012 0.9235 0.1930
O10 0.3737 0.5072 0.8041
O11 0.8136 0.1653 0.8832
O12 0.8810 0.6327 0.4887
O13 0.9410 0.1892 0.3046
O14 0.8018 0.3750 0.5011
O15 0.4877 0.8850 0.6214
O16 0.6190 0.1918 0.5855
O17 0.2755 0.0195 0.8780
O18 0.9335 0.0037 0.6385
O19 0.2004 0.2047 0.5776
O20 0.6368 0.9226 0.0010
O21 0.5778 0.2080 0.2042
O22 0.8572 0.8079 0.1702
O23 0.2000 0.2965 0.9443
O24 0.4748 0.8177 0.3729
P1 0.2042 0.5086 0.8138
P2 0.2794 0.0057 0.7171
P3 0.9909 0.7153 0.2739
P4 0.8160 0.1946 0.5117
P5 0.7187 0.2893 0.0046
P6 0.5068 0.8075 0.1980
Li1 0.1799 0.8512 0.4863
Li2 0.5993 0.9436 0.3485
Li3 0.5766 0.5881 0.5705
Li4 0.3121 0.3145 0.3136
Li5 0.9329 0.3526 0.6122
Li6 0.8473 0.4623 0.1099
Li7 0.4497 0.4269 0.4551
Li8 0.4676 0.1003 0.8464
Li9 0.3561 0.6132 0.9348
Li10 0.6999 0.7160 0.6930
V1 0.8990 0.9071 0.9061
V2 0.0970 0.0933 0.0996
# DOS at the Fermi energy	0.06	states/eV per cell
# formation energy (no corrections)	-246.8	kJ/mol of atoms
# theoretical density	2.6	g cm⁻³



# SrCaOs2, PBEsol geometry, DFT SCAN
data_SrCaOs2
_chemical_formula_sum 'Sr1 Ca1 Os2'
_symmetry_space_group_name_H-M 'P 1'
_symmetry_Int_Tables_number 1
_symmetry_space_group_name_Hall 'P 1'
_cell_length_a 4.8635
_cell_length_b 4.8635
_cell_length_c 4.8635
_cell_angle_alpha 60.00
_cell_angle_beta 60.00
_cell_angle_gamma 60.00
loop_
_atom_site_label
_atom_site_fract_x
_atom_site_fract_y
_atom_site_fract_z
Os1 0.7500 0.7500 0.7500
Os2 0.2500 0.2500 0.2500
Sr1 0.5000 0.5000 0.5000
Ca1 0.0000 0.0000 0.0000
# DOS at the Fermi energy	6.05	states/eV per cell
# formation energy	1213.1	meV/atom
# theoretical density	10.4	g cm⁻³
# excess energy over the best structure of this formula in the dataset	330	meV per atom



# Ce2AlRu2, PBEsol geometry, DFT SCAN
data_Ce2AlRu2
_chemical_formula_sum 'Ce4 Al2 Ru4'
_symmetry_space_group_name_H-M 'P 1'
_symmetry_Int_Tables_number 1
_symmetry_space_group_name_Hall 'P 1'
_cell_length_a 5.7184
_cell_length_b 5.7184
_cell_length_c 6.7928
_cell_angle_alpha 90.00
_cell_angle_beta 90.00
_cell_angle_gamma 118.81
loop_
_atom_site_label
_atom_site_fract_x
_atom_site_fract_y
_atom_site_fract_z
Ce1 0.3436 0.6564 0.0781
Ce2 0.6564 0.3436 0.9219
Ce3 0.8436 0.1564 0.4219
Ce4 0.1564 0.8436 0.5781
Ru1 0.8756 0.6244 0.2500
Ru2 0.3756 0.1244 0.2500
Ru3 0.6244 0.8756 0.7500
Ru4 0.1244 0.3756 0.7500
Al1 0.5000 0.5000 0.5000
Al2 0.0000 0.0000 0.0000
# DOS at the Fermi energy	10.72	states/eV per cell
# formation energy	-567.9	meV/atom
# theoretical density	8.7	g cm⁻³



# AlSbSe3, PBEsol geometry, DFT SCAN
data_AlSbSe3
_chemical_formula_sum 'Al1 Sb1 Se3'
_symmetry_space_group_name_H-M 'P 1'
_symmetry_Int_Tables_number 1
_symmetry_space_group_name_Hall 'P 1'
_cell_length_a 5.2281
_cell_length_b 5.2281
_cell_length_c 5.2281
_cell_angle_alpha 90.00
_cell_angle_beta 90.00
_cell_angle_gamma 90.00
loop_
_atom_site_label
_atom_site_fract_x
_atom_site_fract_y
_atom_site_fract_z
Al1 0.5000 0.5000 0.5000
Sb1 0.0000 0.0000 0.0000
Se1 0.0000 0.0000 0.5000
Se2 0.5000 0.0000 0.0000
Se3 0.0000 0.5000 0.0000
# DOS at the Fermi energy	3.78	states/eV per cell
# formation energy (no corrections)	43.7	kJ/mol of atoms
# theoretical density	4.5	g cm⁻³



# K2PrI5, PBEsol geometry, DFT SCAN
data_K2PrI5
_chemical_formula_sum 'K8 Pr4 I20'
_symmetry_space_group_name_H-M 'P 1'
_symmetry_Int_Tables_number 1
_symmetry_space_group_name_Hall 'P 1'
_cell_length_a 9.0296
_cell_length_b 9.7405
_cell_length_c 14.1349
_cell_angle_alpha 90.00
_cell_angle_beta 90.00
_cell_angle_gamma 90.00
loop_
_atom_site_label
_atom_site_fract_x
_atom_site_fract_y
_atom_site_fract_z
I1 0.1729 0.5483 0.5752
I2 0.3409 0.2500 0.7889
I3 0.6252 0.2500 0.1869
I4 0.4376 0.2500 0.5057
I5 0.5624 0.7500 0.4943
I6 0.1591 0.2500 0.2889
I7 0.8748 0.2500 0.6869
I8 0.1252 0.7500 0.3131
I9 0.3748 0.7500 0.8131
I10 0.1729 0.9517 0.5752
I11 0.8271 0.4517 0.4248
I12 0.8271 0.0483 0.4248
I13 0.6591 0.7500 0.2111
I14 0.8409 0.7500 0.7111
I15 0.3271 0.9517 0.0752
I16 0.6729 0.0483 0.9248
I17 0.0624 0.2500 0.0057
I18 0.3271 0.5483 0.0752
I19 0.6729 0.4517 0.9248
I20 0.9376 0.7500 0.9943
K1 0.5655 0.4952 0.6726
K2 0.4345 0.5048 0.3274
K3 0.0655 0.5048 0.8274
K4 0.4345 0.9952 0.3274
K5 0.9345 0.4952 0.1726
K6 0.5655 0.0048 0.6726
K7 0.0655 0.9952 0.8274
K8 0.9345 0.0048 0.1726
Pr1 0.0833 0.2500 0.5070
Pr2 0.4167 0.2500 0.0070
Pr3 0.9167 0.7500 0.4930
Pr4 0.5833 0.7500 0.9930
# DOS at the Fermi energy	0.00	states/eV per cell
# formation energy (no corrections)	-158.1	kJ/mol of atoms
# theoretical density	4.6	g cm⁻³



# Li2AgP, PBEsol geometry, DFT SCAN
data_Li2AgP
_chemical_formula_sum 'Li2 Ag1 P1'
_symmetry_space_group_name_H-M 'P 1'
_symmetry_Int_Tables_number 1
_symmetry_space_group_name_Hall 'P 1'
_cell_length_a 3.9791
_cell_length_b 4.4702
_cell_length_c 3.9791
_cell_angle_alpha 116.43
_cell_angle_beta 90.00
_cell_angle_gamma 116.43
loop_
_atom_site_label
_atom_site_fract_x
_atom_site_fract_y
_atom_site_fract_z
P1 0.0000 0.0000 0.0000
Ag1 0.5000 0.0000 0.5000
Li1 0.7500 0.5000 0.2500
Li2 0.2500 0.5000 0.7500
# DOS at the Fermi energy	0.67	states/eV per cell
# formation energy	-411.8	meV/atom
# theoretical density	4.6	g cm⁻³



# LiCuMo, PBEsol geometry, DFT SCAN
data_LiCuMo
_chemical_formula_sum 'Li1 Cu1 Mo1'
_symmetry_space_group_name_H-M 'P 1'
_symmetry_Int_Tables_number 1
_symmetry_space_group_name_Hall 'P 1'
_cell_length_a 2.4656
_cell_length_b 3.6345
_cell_length_c 4.8970
_cell_angle_alpha 111.78
_cell_angle_beta 104.58
_cell_angle_gamma 90.00
loop_
_atom_site_label
_atom_site_fract_x
_atom_site_fract_y
_atom_site_fract_z
Cu1 0.9913 0.9913 0.9826
Mo1 0.6597 0.6597 0.3193
Li1 0.3491 0.3491 0.6981
# DOS at the Fermi energy	2.30	states/eV per cell
# formation energy	471.7	meV/atom
# theoretical density	7.0	g cm⁻³



# SiRu2W, PBEsol geometry, DFT SCAN
data_SiRu2W
_chemical_formula_sum 'Si1 Ru2 W1'
_symmetry_space_group_name_H-M 'P 1'
_symmetry_Int_Tables_number 1
_symmetry_space_group_name_Hall 'P 1'
_cell_length_a 2.8959
_cell_length_b 4.3184
_cell_length_c 5.0554
_cell_angle_alpha 115.28
_cell_angle_beta 106.64
_cell_angle_gamma 90.00
loop_
_atom_site_label
_atom_site_fract_x
_atom_site_fract_y
_atom_site_fract_z
Si1 0.4929 0.4929 0.9857
W1 0.2338 0.7338 0.4676
Ru1 0.7753 0.2753 0.5505
Ru2 0.9981 0.9981 0.9962
# DOS at the Fermi energy	2.45	states/eV per cell
# formation energy (no corrections)	-22.4	kJ/mol of atoms
# theoretical density	12.7	g cm⁻³